<i>
This record from Alexandria describes a relaxed Dy7Ho4Sc crystal. The functional is PBE.

Geometry as extended XYZ:
```
12
Lattice="6.4038 0.0000 0.0000 0.9144 6.6416 0.0000 2.1226 0.3540 8.7642" Properties=species:S:1:pos:R:3 pbc="T T T"
Dy 0.0000 0.0000 0.0000
Dy 2.5914 4.1667 3.3691
Dy 3.5686 1.5272 5.5828
Dy 3.9640 4.9654 0.4389
Dy 5.4768 2.0302 8.3253
Dy 5.8722 5.4684 3.1814
Dy 6.8494 2.8289 5.3951
Ho 1.8049 0.8870 2.7025
Ho 4.3927 4.8145 6.3122
Ho 5.0481 2.1811 2.4520
Ho 7.6358 6.1087 6.0617
Sc 0.4572 3.3208 0.0000
```

SG	No. 2
calculated density	8.2	Mg/m³

---

<ii>
This record from Alexandria describes a relaxed Dy7Ho4Sc crystal. The functional is PBE.

Geometry as extended XYZ:
```
12
Lattice="5.9319 -2.8871 0.0000 5.9319 2.8871 0.0000 -5.9020 0.0000 11.1952" Properties=species:S:1:pos:R:3 pbc="T T T"
Dy 0.0000 0.0000 0.0000
Dy -1.3422 0.0000 5.5420
Dy 3.0314 0.0000 0.8323
Dy 0.9833 0.0000 7.7919
Dy 4.9784 0.0000 3.4034
Dy 2.9304 0.0000 10.3629
Dy 7.3039 0.0000 5.6532
Ho -2.9076 0.0000 8.6769
Ho 1.3411 0.0000 3.6707
Ho 4.6206 0.0000 7.5245
Ho 8.8694 0.0000 2.5183
Sc 5.9319 0.0000 0.0000
```

SG	No. 12
calculated density	8.0	Mg/m³

---

Energies in kJ/mol of atoms, measured from the most stable structure: <i> 0.0; <ii> 17.9.

---

<i>
This record from Alexandria describes a relaxed Dy2Ho5Sc2 crystal. The functional is PBE.

Geometry as extended XYZ:
```
18
Lattice="-7.3502 5.7817 3.2019 7.3502 -5.7817 3.2019 7.3502 5.7817 -3.2019" Properties=species:S:1:pos:R:3 pbc="T T T"
Dy 0.0000 0.0000 0.0000
Dy 7.3502 0.0000 0.0000
Dy 11.0253 -0.0462 0.6440
Dy 3.6751 0.0462 0.6440
Ho 9.5151 2.6284 -1.1951
Ho 5.1853 -3.1534 2.0067
Ho 6.5108 3.3497 -0.9025
Ho 8.1896 -2.4320 2.2994
Ho 3.6751 3.5592 1.1900
Ho 0.8394 2.4320 2.2994
Ho 6.5108 2.4320 2.2994
Ho -2.1649 3.1534 2.0067
Ho 9.5151 3.1534 2.0067
Ho 3.6751 2.2226 4.3919
Sc 1.7404 -0.2616 3.4320
Sc 5.6098 -0.2616 3.4320
Sc 1.7404 6.0433 0.2301
Sc 5.6098 6.0433 0.2301
```

SG	No. 46
calculated density	7.6	Mg/m³

---

<ii>
This record from Alexandria describes a relaxed Dy2Ho5Sc2 crystal. The functional is PBE.

Geometry as extended XYZ:
```
9
Lattice="8.7432 -1.7134 0.0000 8.7432 1.7134 0.0000 -2.3251 0.0000 9.0518" Properties=species:S:1:pos:R:3 pbc="T T T"
Dy 2.4974 0.0000 0.2657
Dy 12.6639 0.0000 8.7862
Ho -1.1626 0.0000 4.5259
Ho 2.0179 0.0000 3.6119
Ho 5.3107 0.0000 2.5924
Ho 9.8505 0.0000 6.4594
Ho 13.1434 0.0000 5.4399
Sc 6.6208 0.0000 7.4462
Sc 8.5405 0.0000 1.6056
```

SG	No. 12
calculated density	7.6	Mg/m³

---

Energies in kJ/mol of atoms, measured from the most stable structure: <i> 15.3; <ii> 0.0.

---

<i>
This record from Alexandria describes a relaxed Dy8HoSc2 crystal. The functional is PBE.

Geometry as extended XYZ:
```
11
Lattice="4.4237 -7.9372 0.0000 4.4237 7.9372 0.0000 -3.1949 0.0000 4.8019" Properties=species:S:1:pos:R:3 pbc="T T T"
Dy -0.2363 1.9204 3.2507
Dy 4.4237 4.6431 0.0000
Dy -0.2363 -1.9204 3.2507
Dy 3.1455 0.0000 0.9968
Dy 2.5070 0.0000 3.8051
Dy 5.8887 1.9204 1.5512
Dy 4.4237 -4.6431 0.0000
Dy 5.8887 -1.9204 1.5512
Ho 0.0000 0.0000 0.0000
Sc 2.8262 3.0116 2.4010
Sc 2.8262 -3.0116 2.4010
```

SG	No. 12
calculated density	7.7	Mg/m³

---

<ii>
This record from Alexandria describes a relaxed Dy8HoSc2 crystal. The functional is PBE.

Geometry as extended XYZ:
```
11
Lattice="-2.6777 4.0913 7.7150 2.6777 -4.0913 7.7150 2.6777 4.0913 -7.7150" Properties=species:S:1:pos:R:3 pbc="T T T"
Dy 2.6777 2.4179 -2.1968
Dy 0.0000 0.0000 2.4987
Dy 0.0000 2.4532 0.0000
Dy 2.6777 2.4179 2.1968
Dy 0.0000 1.6734 5.5182
Dy 0.0000 5.7293 0.0000
Dy 0.0000 0.0000 12.9312
Dy 0.0000 1.6734 9.9118
Ho 2.6777 0.0000 0.0000
Sc 2.6777 0.0000 4.6082
Sc 0.0000 4.0913 3.1068
```

SG	No. 71
calculated density	7.6	Mg/m³

---

Energies in kJ/mol of atoms, measured from the most stable structure: <i> 4.6; <ii> 0.0.

---

<i>
This record from Alexandria describes a relaxed DyHo4Sc2 crystal. The functional is PBE.

Geometry as extended XYZ:
```
14
Lattice="5.4132 0.0000 0.0000 0.0000 6.7599 0.0000 -2.7082 0.0000 11.2512" Properties=species:S:1:pos:R:3 pbc="T T T"
Dy 0.0111 1.6900 1.6083
Dy 2.6938 5.0699 9.6430
Ho -0.0081 5.0699 1.7230
Ho -0.0020 1.6900 4.8473
Ho -0.0015 0.0027 7.9715
Ho -0.0015 3.3773 7.9715
Ho 2.7065 6.7572 3.2797
Ho 2.7065 3.3827 3.2797
Ho 2.7070 5.0699 6.4039
Ho 2.7131 1.6900 9.5282
Sc 0.0007 5.0699 4.8275
Sc 0.0111 1.6900 11.2073
Sc 2.6939 5.0699 0.0439
Sc 2.7043 1.6900 6.4237
```

SG	No. 11
calculated density	7.4	Mg/m³

---

<ii>
This record from Alexandria describes a relaxed DyHo4Sc2 crystal. The functional is PBE.

Geometry as extended XYZ:
```
14
Lattice="8.8933 0.0000 0.0000 0.0000 8.8933 0.0000 0.0000 0.0000 5.5201" Properties=species:S:1:pos:R:3 pbc="T T T"
Dy 0.0000 0.0000 0.0000
Dy 4.4467 4.4467 2.7600
Ho 0.9328 3.2257 0.0000
Ho 1.2209 5.3795 2.7600
Ho 3.2257 0.9328 0.0000
Ho 3.5138 7.6724 2.7600
Ho 5.3795 1.2209 2.7600
Ho 5.6676 7.9605 0.0000
Ho 7.6724 3.5138 2.7600
Ho 7.9605 5.6676 0.0000
Sc 1.6740 1.6740 2.7600
Sc 2.7727 6.1206 0.0000
Sc 6.1206 2.7727 0.0000
Sc 7.2193 7.2193 2.7600
```

SG	No. 136
calculated density	6.9	Mg/m³

---

Energies in kJ/mol of atoms, measured from the most stable structure: <i> 0.0; <ii> 12.7.